(1)
VASP calculation (PBE) on a relaxed structure of Pr12GaRu6.

Summary:
The formation energy comes out at -148.5 meV/atom. The total energy is -6.256 eV/atom.

a = 8.8374 Å, b = 8.8374 Å, c = 8.8374 Å
α = 109.47°, β = 109.47°, γ = 109.47°
Element x y z (fractional)
Pr 0.1952 0.2970 0.4922
Ga 0.0000 0.0000 0.0000
Pr 0.7030 0.8982 0.1952
Pr 0.5078 0.8048 0.7030
Pr 0.1018 0.8048 0.2970
Ru 0.6204 0.5000 0.1204
Pr 0.4922 0.1952 0.2970
Pr 0.2970 0.1018 0.8048
Ru 0.5000 0.8796 0.3796
Ru 0.8796 0.3796 0.5000
Ru 0.1204 0.6204 0.5000
Ru 0.5000 0.1204 0.6204
Pr 0.8048 0.2970 0.1018
Pr 0.2970 0.4922 0.1952
Pr 0.8982 0.1952 0.7030
Pr 0.1952 0.7030 0.8982
Pr 0.8048 0.7030 0.5078
Ru 0.3796 0.5000 0.8796
Pr 0.7030 0.5078 0.8048

(2)
VASP calculation (PBE) on a relaxed structure of Zn8FeIr2.

Summary:
The formation energy comes out at -28.1 meV/atom. The total energy is -3.335 eV/atom.

a = 4.1212 Å, b = 8.8687 Å, c = 6.4275 Å
α = 122.48°, β = 90.00°, γ = 117.69°
Each line ends with the local moment (μB).
Element x y z (fractional)
Zn 0.9650 0.9650 0.2617  -0.02
Zn 0.8250 0.3250 0.0005  -0.02
Zn 0.0350 0.0350 0.7383  -0.02
Fe 0.5000 0.0000 0.0000  2.12
Zn 0.7338 0.2338 0.4789  -0.01
Zn 0.2985 0.2985 0.2663  -0.02
Zn 0.1750 0.6750 0.9995  -0.02
Ir 0.6236 0.6236 0.2491  -0.02
Zn 0.7015 0.7015 0.7337  -0.02
Ir 0.3764 0.3764 0.7509  -0.02
Zn 0.2662 0.7662 0.5211  -0.01

(3)
VASP calculation (PBE) on a relaxed structure of Ta2TcHg.

Summary:
The formation energy comes out at 150.3 meV/atom. The total energy is -8.443 eV/atom.

a = 4.1313 Å, b = 2.9937 Å, c = 6.1759 Å
α = 69.34°, β = 90.00°, γ = 90.00°
Element x y z (fractional)
Ta 0.0000 0.4579 0.4733
Hg 0.5000 0.7500 0.7500
Tc 0.5000 0.2500 0.2500
Ta 0.0000 0.0421 0.0267

(4)
VASP calculation (PBE) on a relaxed structure of PmErMg3.

Summary:
The formation energy comes out at -38.1 meV/atom. The total energy is -2.858 eV/atom. The value obtained for the excess energy over the best structure of this formula in the dataset is 0.0 kJ/mol of atoms.

a = 5.2178 Å, b = 11.4011 Å, c = 11.4011 Å
α = 55.42°, β = 76.74°, γ = 76.74°
Element x y z (fractional)
Pm 0.0519 0.3233 0.0738
Mg 0.5590 0.5456 0.8346
Mg 0.6422 0.7207 0.4936
Er 0.7500 0.3697 0.6303
Pm 0.9481 0.6767 0.9262
Mg 0.6548 0.2174 0.9731
Mg 0.1422 0.4936 0.7207
Pm 0.4481 0.9262 0.6767
Er 0.2500 0.1290 0.8710
Mg 0.8578 0.5064 0.2793
Mg 0.4410 0.4544 0.1654
Er 0.2500 0.6303 0.3697
Mg 0.3452 0.7826 0.0269
Mg 0.8452 0.0269 0.7826
Mg 0.1548 0.9731 0.2174
Mg 0.3578 0.2793 0.5064
Er 0.7500 0.8710 0.1290
Mg 0.9410 0.1654 0.4544
Pm 0.5519 0.0738 0.3233
Mg 0.0590 0.8346 0.5456

(5)
VASP calculation (PBE) on a relaxed structure of Pm2Er2Ge.

Summary:
The formation energy comes out at 218.5 meV/atom. The total energy is -4.430 eV/atom.

a = 4.1963 Å, b = 4.1963 Å, c = 9.3224 Å
α = 103.01°, β = 103.01°, γ = 90.00°
Element x y z (fractional)
Er 0.7500 0.2500 0.5000
Ge 0.0000 0.0000 0.0000
Er 0.2500 0.7500 0.5000
Pm 0.4159 0.4159 0.8317
Pm 0.5841 0.5841 0.1683

(6)
VASP calculation (PBE) on a relaxed structure of K2In3GeAu4.

Summary:
The formation energy comes out at -253.2 meV/atom. The total energy is -3.067 eV/atom.

a = 4.9963 Å, b = 4.9963 Å, c = 10.5720 Å
α = 90.00°, β = 90.00°, γ = 90.00°
Element x y z (fractional)
Au 0.0000 0.0000 0.0000
Ge 0.5000 0.5000 0.5000
In 0.5000 0.0000 0.8774
Au 0.5000 0.5000 0.0000
K 0.5000 0.0000 0.2464
Au 0.0000 0.5000 0.3868
K 0.0000 0.5000 0.7536
Au 0.5000 0.0000 0.6132
In 0.0000 0.5000 0.1226
In 0.0000 0.0000 0.5000

(7)
VASP calculation (PBE) on a relaxed structure of Tb2PuSc3S6.

Summary:
For the formation energy from raw total energies, the calculation gives -22.90 eV per formula unit. The total energy is -7.521 eV/atom.

a = 3.7944 Å, b = 7.6631 Å, c = 8.5385 Å
α = 103.29°, β = 102.84°, γ = 90.00°
Each line ends with the local moment (μB).
Element x y z (fractional)
S 0.0044 0.7391 0.0087  -0.04
Pu 0.5000 0.0000 0.0000  5.35
S 0.3363 0.4058 0.6726  0.01
Sc 0.5000 0.5000 0.0000  -0.01
Tb 0.8353 0.6694 0.6707  0.04
S 0.3283 0.9247 0.6566  -0.01
S 0.9956 0.2609 0.9913  -0.04
Sc 0.1655 0.8375 0.3311  0.03
S 0.6717 0.0753 0.3434  -0.01
Tb 0.1647 0.3306 0.3293  0.04
Sc 0.8345 0.1625 0.6689  0.03
S 0.6637 0.5942 0.3274  0.01

(8)
VASP calculation (PBE) on a relaxed structure of Mg2PRh.

Summary:
The formation energy comes out at -264.7 meV/atom. The total energy is -4.252 eV/atom.

a = 4.4284 Å, b = 4.4284 Å, c = 4.4284 Å
α = 60.00°, β = 60.00°, γ = 60.00°
Element x y z (fractional)
Rh 0.7500 0.7500 0.7500
P 0.5000 0.5000 0.5000
Mg 0.0000 0.0000 0.0000
Mg 0.2500 0.2500 0.2500

(9)
VASP calculation (PBE) on a relaxed structure of CoPRu2I.

Summary:
For the formation energy from raw total energies, the calculation gives 9.57 eV per formula unit. The total energy is -4.610 eV/atom.

a = 4.8510 Å, b = 4.8510 Å, c = 4.5175 Å
α = 90.00°, β = 90.00°, γ = 90.00°
Each line ends with the local moment (μB).
Element x y z (fractional)
Ru 0.5000 0.0000 0.0000  0.80
P 0.5000 0.5000 0.5000  0.01
Co 0.0000 0.0000 0.5000  1.11
I 0.0000 0.0000 0.0000  0.00
Ru 0.0000 0.5000 0.0000  0.80

(10)
VASP calculation (PBE) on a relaxed structure of TaAs2Cl.

Summary:
For the formation energy from raw total energies, the calculation gives -0.72 eV per formula unit. The total energy is -5.929 eV/atom. The value obtained for the excess energy over the best structure of this formula in the dataset is 17.6 kJ/mol of atoms.

a = 8.1977 Å, b = 8.1977 Å, c = 8.1977 Å
α = 158.55°, β = 148.57°, γ = 38.37°
Element x y z (fractional)
As 0.7168 0.2168 0.5000
Ta 0.2683 0.7683 0.5000
As 0.1210 0.1210 0.0000
Cl 0.3939 0.3939 0.0000